No. 1
# TbSm2PuAs4 (PBE-GGA, optimized geometry)
# * ΔH_f (0 K): -1.395 eV/atom
data_TbSm2PuAs4
_chemical_formula_sum 'Tb1 Sm2 Pu1 As4'
_cell_length_a 7.222
_cell_length_b 4.182
_cell_length_c 7.225
_cell_angle_alpha 90.00
_cell_angle_beta 109.46
_cell_angle_gamma 90.00
_space_group_name_H-M_alt 'P 1 2/m 1'
_space_group_IT_number 10
loop_
_space_group_symop_operation_xyz
'x,y,z'
'-x,-y,-z'
'-x,y,-z'
'x,-y,z'
loop_
_atom_site_label
_atom_site_type_symbol
_atom_site_fract_x
_atom_site_fract_y
_atom_site_fract_z
Tb1 Tb 0.000 0.000 0.000
Sm1 Sm 0.000 0.500 0.500
Sm2 Sm 0.500 0.000 0.500
Pu1 Pu 0.500 0.500 0.000
As1 As 0.250 0.500 0.244
As2 As 0.254 0.000 0.757

***

No. 2
# Tb3Sm2PuAs6 (PBE-GGA, optimized geometry)
# * ΔH_f (0 K): -1.441 eV/atom
data_Tb3Sm2PuAs6
_chemical_formula_sum 'Tb6 Sm4 Pu2 As12'
_cell_length_a 18.126
_cell_length_b 4.167
_cell_length_c 8.325
_cell_angle_alpha 90.00
_cell_angle_beta 103.24
_cell_angle_gamma 90.00
_space_group_name_H-M_alt 'C 1 2/m 1'
_space_group_IT_number 12
loop_
_space_group_symop_operation_xyz
'x,y,z'
'-x,-y,-z'
'-x,y,-z'
'x,-y,z'
'x+1/2,y+1/2,z'
'-x+1/2,-y+1/2,-z'
'-x+1/2,y+1/2,-z'
'x+1/2,-y+1/2,z'
loop_
_atom_site_label
_atom_site_type_symbol
_atom_site_fract_x
_atom_site_fract_y
_atom_site_fract_z
Tb1 Tb 0.000 0.000 0.000
Tb2 Tb 0.168 0.500 0.333
Sm1 Sm 0.167 0.500 0.834
Pu1 Pu 0.000 0.000 0.500
As1 As 0.001 0.500 0.253
As2 As 0.166 0.000 0.086
As3 As 0.166 0.000 0.580

***

No. 3
# SmPuTeAs (PBE-GGA, optimized geometry)
# * formation energy from raw total energies: -1.313 eV per atom
data_SmPuTeAs
_chemical_formula_sum 'Sm3 Pu3 Te3 As3'
_cell_length_a 4.2918
_cell_length_b 4.2918
_cell_length_c 21.3887
_cell_angle_alpha 90.00
_cell_angle_beta 90.00
_cell_angle_gamma 120.00
_space_group_name_H-M_alt 'R 3 m'
_space_group_IT_number 160
_space_group_name_Hall 'R 3 -2"'
loop_
_atom_site_label
_atom_site_type_symbol
_atom_site_fract_x
_atom_site_fract_y
_atom_site_fract_z
Sm1 Sm 0.0000 0.0000 0.0000
Pu1 Pu 0.0000 0.0000 0.4833
Te1 Te 0.0000 0.0000 0.2403
As1 As 0.0000 0.0000 0.7424

***

No. 4
# SmPuTh2As4 (PBE-GGA, optimized geometry)
# * ΔH_f (0 K): -1.363 eV/atom
data_SmPuTh2As4
_chemical_formula_sum 'Sm4 Pu4 Th8 As16'
_cell_length_a 8.435
_cell_length_b 8.461
_cell_length_c 11.947
_cell_angle_alpha 90.00
_cell_angle_beta 90.00
_cell_angle_gamma 90.00
_space_group_name_H-M_alt 'I m m a'
_space_group_IT_number 74
_space_group_name_Hall '-I 2b 2'
loop_
_atom_site_label
_atom_site_type_symbol
_atom_site_fract_x
_atom_site_fract_y
_atom_site_fract_z
Sm1 Sm 0.250 0.250 0.250
Pu1 Pu 0.000 0.000 0.000
Th1 Th 0.000 0.000 0.500
Th2 Th 0.250 0.250 0.750
As1 As 0.000 0.001 0.249
As2 As 0.246 0.250 0.000

***

No. 5
# SmPu2ThAs4 (PBE-GGA, optimized geometry)
# * ΔH_f (0 K): -1.266 eV/atom
data_SmPu2ThAs4
_chemical_formula_sum 'Sm1 Pu2 Th1 As4'
_cell_length_a 7.231
_cell_length_b 4.207
_cell_length_c 7.279
_cell_angle_alpha 90.00
_cell_angle_beta 109.61
_cell_angle_gamma 90.00
_space_group_name_H-M_alt 'P 1 2/m 1'
_space_group_IT_number 10
loop_
_space_group_symop_operation_xyz
'x,y,z'
'-x,-y,-z'
'-x,y,-z'
'x,-y,z'
loop_
_atom_site_label
_atom_site_type_symbol
_atom_site_fract_x
_atom_site_fract_y
_atom_site_fract_z
Sm1 Sm 0.000 0.000 0.000
Pu1 Pu 0.500 0.000 0.500
Pu2 Pu 0.500 0.500 0.000
Th1 Th 0.000 0.500 0.500
As1 As 0.257 0.000 0.753
As2 As 0.257 0.500 0.252

***

No. 6
# Sm3PuTh2As6 (PBE-GGA, optimized geometry)
# * ΔH_f (0 K): -1.421 eV/atom
data_Sm3PuTh2As6
_chemical_formula_sum 'Sm6 Pu2 Th4 As12'
_cell_length_a 18.396
_cell_length_b 4.227
_cell_length_c 8.430
_cell_angle_alpha 90.00
_cell_angle_beta 103.25
_cell_angle_gamma 90.00
_space_group_name_H-M_alt 'C 1 2/m 1'
_space_group_IT_number 12
loop_
_space_group_symop_operation_xyz
'x,y,z'
'-x,-y,-z'
'-x,y,-z'
'x,-y,z'
'x+1/2,y+1/2,z'
'-x+1/2,-y+1/2,-z'
'-x+1/2,y+1/2,-z'
'x+1/2,-y+1/2,z'
loop_
_atom_site_label
_atom_site_type_symbol
_atom_site_fract_x
_atom_site_fract_y
_atom_site_fract_z
Sm1 Sm 0.000 0.000 0.000
Sm2 Sm 0.167 0.500 0.334
Pu1 Pu 0.000 0.000 0.500
Th1 Th 0.165 0.500 0.830
As1 As 0.001 0.500 0.254
As2 As 0.166 0.000 0.582
As3 As 0.167 0.000 0.083

***

No. 7
# SmPu3Th2As6 (PBE-GGA, optimized geometry)
# * ΔH_f (0 K): -1.260 eV/atom
data_SmPu3Th2As6
_chemical_formula_sum 'Sm2 Pu6 Th4 As12'
_cell_length_a 18.258
_cell_length_b 4.215
_cell_length_c 8.371
_cell_angle_alpha 90.00
_cell_angle_beta 102.74
_cell_angle_gamma 90.00
_space_group_name_H-M_alt 'C 1 2/m 1'
_space_group_IT_number 12
loop_
_space_group_symop_operation_xyz
'x,y,z'
'-x,-y,-z'
'-x,y,-z'
'x,-y,z'
'x+1/2,y+1/2,z'
'-x+1/2,-y+1/2,-z'
'-x+1/2,y+1/2,-z'
'x+1/2,-y+1/2,z'
loop_
_atom_site_label
_atom_site_type_symbol
_atom_site_fract_x
_atom_site_fract_y
_atom_site_fract_z
Sm1 Sm 0.000 0.000 0.000
Pu1 Pu 0.000 0.000 0.500
Pu2 Pu 0.166 0.500 0.834
Th1 Th 0.166 0.500 0.331
As1 As 0.002 0.500 0.746
As2 As 0.165 0.000 0.587
As3 As 0.168 0.000 0.079

***

No. 8
# SmTm2PuAs4 (PBE-GGA, optimized geometry)
# * ΔH_f (0 K): -1.376 eV/atom
data_SmTm2PuAs4
_chemical_formula_sum 'Sm1 Tm2 Pu1 As4'
_cell_length_a 7.121
_cell_length_b 4.127
_cell_length_c 7.134
_cell_angle_alpha 90.00
_cell_angle_beta 109.49
_cell_angle_gamma 90.00
_space_group_name_H-M_alt 'P 1 2/m 1'
_space_group_IT_number 10
loop_
_space_group_symop_operation_xyz
'x,y,z'
'-x,-y,-z'
'-x,y,-z'
'x,-y,z'
loop_
_atom_site_label
_atom_site_type_symbol
_atom_site_fract_x
_atom_site_fract_y
_atom_site_fract_z
Sm1 Sm 0.000 0.000 0.000
Tm1 Tm 0.500 0.000 0.500
Tm2 Tm 0.500 0.500 0.000
Pu1 Pu 0.000 0.500 0.500
As1 As 0.255 0.000 0.748
As2 As 0.257 0.500 0.256

***

| no. | DFT total energy (eV/atom) |
| --- | --- |
| 1 | -7.27 |
| 2 | -6.90 |
| 3 | -8.02 |
| 4 | -7.92 |
| 5 | -8.69 |
| 6 | -7.36 |
| 7 | -8.80 |
| 8 | -7.20 |